1.
Here is crystalline Cs2LaZn2O4 at its relaxed geometry from Alexandria. Energies are from PBE.

Computed properties:
DOS(E_F), states/eV per cell: 2.98
Uncorrected energy, eV per atom: -4.887

Geometry as CIF:
```
data_Cs2LaZn2O4
_cell_length_a 14.742
_cell_length_b 3.614
_cell_length_c 7.221
_cell_angle_alpha 90.00
_cell_angle_beta 106.34
_cell_angle_gamma 90.00
_space_group_name_H-M_alt 'C 1 2/m 1'
_space_group_IT_number 12
_space_group_name_Hall '-C 2y'
loop_
_atom_site_label
_atom_site_type_symbol
_atom_site_fract_x
_atom_site_fract_y
_atom_site_fract_z
Cs1 Cs 0.135 0.000 0.064
La1 La 0.000 0.000 0.500
Zn1 Zn 0.183 0.500 0.528
O1 O 0.052 0.500 0.330
O2 O 0.176 0.000 0.671
```

2.
Here is crystalline CsLaOs3 at its relaxed geometry from Alexandria. Energies are from PBE.

Computed properties:
DOS(E_F), states/eV per cell: 6.80
Formation enthalpy at 0 K, eV per atom: 2.667
Energy relative to the lowest polymorph listed for this composition, meV/atom: 0.0

Geometry as CIF:
```
data_CsLaOs3
_cell_length_a 5.198
_cell_length_b 5.198
_cell_length_c 5.198
_cell_angle_alpha 90.00
_cell_angle_beta 90.00
_cell_angle_gamma 90.00
_space_group_name_H-M_alt 'P m -3 m'
_space_group_IT_number 221
_space_group_name_Hall '-P 4 2 3'
loop_
_atom_site_label
_atom_site_type_symbol
_atom_site_fract_x
_atom_site_fract_y
_atom_site_fract_z
Cs1 Cs 0.000 0.000 0.000
La1 La 0.500 0.500 0.500
Os1 Os 0.000 0.500 0.500
```

3.
Here is crystalline Cs2LaOs2 at its relaxed geometry from Alexandria. Energies are from PBE.

Computed properties:
DOS(E_F), states/eV per cell: 19.03
Formation enthalpy at 0 K, eV per atom: 1.290

Geometry as CIF:
```
data_Cs2LaOs2
_cell_length_a 4.583
_cell_length_b 4.583
_cell_length_c 15.686
_cell_angle_alpha 90.00
_cell_angle_beta 90.00
_cell_angle_gamma 90.00
_space_group_name_H-M_alt 'I 4/m m m'
_space_group_IT_number 139
_space_group_name_Hall '-I 4 2'
loop_
_atom_site_label
_atom_site_type_symbol
_atom_site_fract_x
_atom_site_fract_y
_atom_site_fract_z
Cs1 Cs 0.000 0.500 0.250
La1 La 0.000 0.000 0.000
Os1 Os 0.000 0.000 0.427
```

| no. | M_tot (μB per formula unit) |
| --- | --- |
| 1 | 0.0 |
| 2 | 4.0 |
| 3 | 2.8 |